First-principles (GGA-PBE) data for a relaxed NaTlPb2 crystal, as listed in Alexandria.

Results
As for the formation energy: -0.450 eV per formula unit. The total magnetization comes out at 0.00 μB per formula unit. Its space group is F-43m. The energy comes out at -2.8880 eV/atom.

abc: 5.5515 5.5515 5.5515
angles: 60.00 60.00 60.00
Atoms (fractional coordinates):
Na: 0.0000 0.0000 0.0000
Tl: 0.2500 0.2500 0.2500
Pb: 0.5000 0.5000 0.5000
Pb: 0.7500 0.7500 0.7500